DFT (PBE+U) results for a relaxed structure of Tl3FeCu2F9.

a b c (Å): 5.961 5.961 7.329
angles (deg): 90.00 90.00 120.00
Fractional positions:
Tl1 0.333 0.667 0.687
Tl2 0.000 0.000 0.000
Tl3 0.667 0.333 0.313
Fe1 0.000 0.000 0.500
Cu1 0.333 0.667 0.163
Cu2 0.667 0.333 0.837
F1 0.843 0.157 0.656
F2 0.843 0.685 0.656
F3 0.315 0.157 0.656
F4 0.685 0.843 0.344
F5 0.157 0.315 0.344
F6 0.157 0.843 0.344
F7 0.500 0.000 0.000
F8 0.000 0.500 0.000
F9 0.500 0.500 0.000

Output
- space-group type = No. 164
- calculated total energy (eV per atom) = -4.3666